(a)
The following is a DFT calculation (PBE-GGA) of an optimized crystal structure of Pr2CuIr2.

**Spin magnetization**: 0.00 μB per formula unit

```
data_Pr2CuIr2
_cell_length_a 5.691
_cell_length_b 5.691
_cell_length_c 8.092
_cell_angle_alpha 103.63
_cell_angle_beta 103.63
_cell_angle_gamma 58.88
_space_group_name_H-M_alt 'P 1'
_space_group_IT_number 1
_space_group_name_Hall 'P 1'
loop_
_atom_site_label
_atom_site_type_symbol
_atom_site_fract_x
_atom_site_fract_y
_atom_site_fract_z
_atom_site_occupancy
Pr1 Pr 0.002 0.293 0.150 1
Pr2 Pr 0.293 0.002 0.650 1
Pr3 Pr 0.707 0.998 0.350 1
Pr4 Pr 0.998 0.707 0.850 1
Cu1 Cu 0.363 0.637 0.250 1
Cu2 Cu 0.637 0.363 0.750 1
Ir1 Ir 0.225 0.509 0.487 1
Ir2 Ir 0.491 0.775 0.013 1
Ir3 Ir 0.509 0.225 0.987 1
Ir4 Ir 0.775 0.491 0.513 1
```


(b)
The following is a DFT calculation (PBE-GGA) of an optimized crystal structure of Pr2CuIr2.

**Spin magnetization**: 0.00 μB per formula unit

```
data_Pr2CuIr2
_cell_length_a 4.291
_cell_length_b 5.809
_cell_length_c 8.622
_cell_angle_alpha 90.00
_cell_angle_beta 90.00
_cell_angle_gamma 90.00
_space_group_name_H-M_alt 'P 1'
_space_group_IT_number 1
_space_group_name_Hall 'P 1'
loop_
_atom_site_label
_atom_site_type_symbol
_atom_site_fract_x
_atom_site_fract_y
_atom_site_fract_z
_atom_site_occupancy
Pr1 Pr 0.000 0.000 0.199 1
Pr2 Pr 0.000 0.000 0.801 1
Pr3 Pr 0.500 0.500 0.301 1
Pr4 Pr 0.500 0.500 0.699 1
Cu1 Cu 0.000 0.500 0.000 1
Cu2 Cu 0.500 0.000 0.500 1
Ir1 Ir 0.000 0.258 0.500 1
Ir2 Ir 0.000 0.742 0.500 1
Ir3 Ir 0.500 0.242 0.000 1
Ir4 Ir 0.500 0.758 0.000 1
```


The energy of each structure relative to the most stable one, in meV per atom, is as follows: (a) 18; (b) 0.


(a)
The following is a DFT calculation (PBE-GGA) of an optimized crystal structure of Pr3CuIr2.

**Spin magnetization**: 0.00 μB per formula unit

```
data_Pr3CuIr2
_cell_length_a 7.280
_cell_length_b 7.280
_cell_length_c 8.427
_cell_angle_alpha 106.81
_cell_angle_beta 106.81
_cell_angle_gamma 47.79
_space_group_name_H-M_alt 'P 1'
_space_group_IT_number 1
_space_group_name_Hall 'P 1'
loop_
_atom_site_label
_atom_site_type_symbol
_atom_site_fract_x
_atom_site_fract_y
_atom_site_fract_z
_atom_site_occupancy
Pr1 Pr 0.008 0.992 0.750 1
Pr2 Pr 0.317 0.319 0.909 1
Pr3 Pr 0.319 0.317 0.409 1
Pr4 Pr 0.681 0.683 0.591 1
Pr5 Pr 0.683 0.681 0.091 1
Pr6 Pr 0.992 0.008 0.250 1
Cu1 Cu 0.491 0.509 0.250 1
Cu2 Cu 0.509 0.491 0.750 1
Ir1 Ir 0.158 0.161 0.580 1
Ir2 Ir 0.161 0.158 0.080 1
Ir3 Ir 0.839 0.842 0.920 1
Ir4 Ir 0.842 0.839 0.420 1
```


(b)
The following is a DFT calculation (PBE-GGA) of an optimized crystal structure of Pr3CuIr2.

**Spin magnetization**: 0.00 μB per formula unit

```
data_Pr3CuIr2
_cell_length_a 11.818
_cell_length_b 4.206
_cell_length_c 11.759
_cell_angle_alpha 90.00
_cell_angle_beta 90.00
_cell_angle_gamma 90.00
_space_group_name_H-M_alt 'P 1'
_space_group_IT_number 1
_space_group_name_Hall 'P 1'
loop_
_atom_site_label
_atom_site_type_symbol
_atom_site_fract_x
_atom_site_fract_y
_atom_site_fract_z
_atom_site_occupancy
Pr1 Pr 0.055 0.250 0.124 1
Pr2 Pr 0.121 0.750 0.563 1
Pr3 Pr 0.202 0.250 0.812 1
Pr4 Pr 0.298 0.750 0.312 1
Pr5 Pr 0.379 0.250 0.063 1
Pr6 Pr 0.445 0.750 0.624 1
Pr7 Pr 0.555 0.250 0.376 1
Pr8 Pr 0.621 0.750 0.937 1
Pr9 Pr 0.702 0.250 0.688 1
Pr10 Pr 0.798 0.750 0.188 1
Pr11 Pr 0.879 0.250 0.437 1
Pr12 Pr 0.945 0.750 0.876 1
Cu1 Cu 0.129 0.250 0.375 1
Cu2 Cu 0.371 0.750 0.875 1
Cu3 Cu 0.629 0.250 0.125 1
Cu4 Cu 0.871 0.750 0.625 1
Ir1 Ir 0.019 0.750 0.317 1
Ir2 Ir 0.181 0.750 0.988 1
Ir3 Ir 0.319 0.250 0.488 1
Ir4 Ir 0.481 0.250 0.817 1
Ir5 Ir 0.519 0.750 0.183 1
Ir6 Ir 0.681 0.750 0.512 1
Ir7 Ir 0.819 0.250 0.012 1
Ir8 Ir 0.981 0.250 0.683 1
```


The energy of each structure relative to the most stable one, in meV per atom, is as follows: (a) 183; (b) 0.


(a)
The following is a DFT calculation (PBE-GGA) of an optimized crystal structure of PrSmCuIr.

**Spin magnetization**: 0.00 μB per formula unit

```
data_PrSmCuIr
_cell_length_a 7.115
_cell_length_b 7.115
_cell_length_c 7.115
_cell_angle_alpha 90.00
_cell_angle_beta 90.00
_cell_angle_gamma 90.00
_space_group_name_H-M_alt 'P 1'
_space_group_IT_number 1
_space_group_name_Hall 'P 1'
loop_
_atom_site_label
_atom_site_type_symbol
_atom_site_fract_x
_atom_site_fract_y
_atom_site_fract_z
_atom_site_occupancy
Pr1 Pr 0.000 0.000 0.000 1
Pr2 Pr 0.000 0.500 0.500 1
Pr3 Pr 0.500 0.000 0.500 1
Pr4 Pr 0.500 0.500 0.000 1
Sm1 Sm 0.000 0.000 0.500 1
Sm2 Sm 0.000 0.500 0.000 1
Sm3 Sm 0.500 0.000 0.000 1
Sm4 Sm 0.500 0.500 0.500 1
Cu1 Cu 0.250 0.250 0.250 1
Cu2 Cu 0.250 0.750 0.750 1
Cu3 Cu 0.750 0.250 0.750 1
Cu4 Cu 0.750 0.750 0.250 1
Ir1 Ir 0.250 0.250 0.750 1
Ir2 Ir 0.250 0.750 0.250 1
Ir3 Ir 0.750 0.250 0.250 1
Ir4 Ir 0.750 0.750 0.750 1
```


(b)
The following is a DFT calculation (PBE-GGA) of an optimized crystal structure of PrSmCuIr.

**Spin magnetization**: 0.00 μB per formula unit

```
data_PrSmCuIr
_cell_length_a 4.402
_cell_length_b 3.977
_cell_length_c 10.729
_cell_angle_alpha 90.00
_cell_angle_beta 90.00
_cell_angle_gamma 90.00
_space_group_name_H-M_alt 'P 1'
_space_group_IT_number 1
_space_group_name_Hall 'P 1'
loop_
_atom_site_label
_atom_site_type_symbol
_atom_site_fract_x
_atom_site_fract_y
_atom_site_fract_z
_atom_site_occupancy
Pr1 Pr 0.000 0.000 0.000 1
Pr2 Pr 0.000 0.500 0.500 1
Sm1 Sm 0.500 0.000 0.723 1
Sm2 Sm 0.500 0.500 0.223 1
Cu1 Cu 0.500 0.000 0.430 1
Cu2 Cu 0.500 0.500 0.930 1
Ir1 Ir 0.000 0.000 0.282 1
Ir2 Ir 0.000 0.500 0.782 1
```


The energy of each structure relative to the most stable one, in meV per atom, is as follows: (a) 48; (b) 0.


(a)
The following is a DFT calculation (PBE-GGA) of an optimized crystal structure of PrYCuIr.

**Spin magnetization**: 0.00 μB per formula unit

```
data_PrYCuIr
_cell_length_a 7.055
_cell_length_b 7.055
_cell_length_c 7.055
_cell_angle_alpha 90.00
_cell_angle_beta 90.00
_cell_angle_gamma 90.00
_space_group_name_H-M_alt 'P 1'
_space_group_IT_number 1
_space_group_name_Hall 'P 1'
loop_
_atom_site_label
_atom_site_type_symbol
_atom_site_fract_x
_atom_site_fract_y
_atom_site_fract_z
_atom_site_occupancy
Pr1 Pr 0.000 0.000 0.000 1
Pr2 Pr 0.000 0.500 0.500 1
Pr3 Pr 0.500 0.000 0.500 1
Pr4 Pr 0.500 0.500 0.000 1
Y1 Y 0.000 0.000 0.500 1
Y2 Y 0.000 0.500 0.000 1
Y3 Y 0.500 0.000 0.000 1
Y4 Y 0.500 0.500 0.500 1
Cu1 Cu 0.250 0.250 0.250 1
Cu2 Cu 0.250 0.750 0.750 1
Cu3 Cu 0.750 0.250 0.750 1
Cu4 Cu 0.750 0.750 0.250 1
Ir1 Ir 0.250 0.250 0.750 1
Ir2 Ir 0.250 0.750 0.250 1
Ir3 Ir 0.750 0.250 0.250 1
Ir4 Ir 0.750 0.750 0.750 1
```


(b)
The following is a DFT calculation (PBE-GGA) of an optimized crystal structure of PrYCuIr.

**Spin magnetization**: 0.00 μB per formula unit

```
data_PrYCuIr
_cell_length_a 4.373
_cell_length_b 3.937
_cell_length_c 10.663
_cell_angle_alpha 90.00
_cell_angle_beta 90.00
_cell_angle_gamma 90.00
_space_group_name_H-M_alt 'P 1'
_space_group_IT_number 1
_space_group_name_Hall 'P 1'
loop_
_atom_site_label
_atom_site_type_symbol
_atom_site_fract_x
_atom_site_fract_y
_atom_site_fract_z
_atom_site_occupancy
Pr1 Pr 0.000 0.000 0.000 1
Pr2 Pr 0.000 0.500 0.500 1
Y1 Y 0.500 0.000 0.279 1
Y2 Y 0.500 0.500 0.779 1
Cu1 Cu 0.500 0.000 0.573 1
Cu2 Cu 0.500 0.500 0.073 1
Ir1 Ir 0.000 0.000 0.720 1
Ir2 Ir 0.000 0.500 0.220 1
```


The energy of each structure relative to the most stable one, in meV per atom, is as follows: (a) 33; (b) 0.


(a)
The following is a DFT calculation (PBE-GGA) of an optimized crystal structure of Cu2IrPt2.

**Spin magnetization**: 0.00 μB per formula unit

```
data_Cu2IrPt2
_cell_length_a 7.187
_cell_length_b 7.187
_cell_length_c 2.767
_cell_angle_alpha 90.00
_cell_angle_beta 90.00
_cell_angle_gamma 90.00
_space_group_name_H-M_alt 'P 1'
_space_group_IT_number 1
_space_group_name_Hall 'P 1'
loop_
_atom_site_label
_atom_site_type_symbol
_atom_site_fract_x
_atom_site_fract_y
_atom_site_fract_z
_atom_site_occupancy
Cu1 Cu 0.117 0.383 0.000 1
Cu2 Cu 0.383 0.883 0.000 1
Cu3 Cu 0.617 0.117 0.000 1
Cu4 Cu 0.883 0.617 0.000 1
Ir1 Ir 0.000 0.000 0.000 1
Ir2 Ir 0.500 0.500 0.000 1
Pt1 Pt 0.182 0.682 0.500 1
Pt2 Pt 0.318 0.182 0.500 1
Pt3 Pt 0.682 0.818 0.500 1
Pt4 Pt 0.818 0.318 0.500 1
```


(b)
The following is a DFT calculation (PBE-GGA) of an optimized crystal structure of Cu2IrPt2.

**Spin magnetization**: 0.79 μB per formula unit

```
data_Cu2IrPt2
_cell_length_a 7.234
_cell_length_b 7.234
_cell_length_c 2.792
_cell_angle_alpha 90.00
_cell_angle_beta 90.00
_cell_angle_gamma 90.00
_space_group_name_H-M_alt 'P 1'
_space_group_IT_number 1
_space_group_name_Hall 'P 1'
loop_
_atom_site_label
_atom_site_type_symbol
_atom_site_fract_x
_atom_site_fract_y
_atom_site_fract_z
_atom_site_occupancy
Cu1 Cu 0.163 0.337 0.000 1
Cu2 Cu 0.337 0.837 0.000 1
Cu3 Cu 0.663 0.163 0.000 1
Cu4 Cu 0.837 0.663 0.000 1
Ir1 Ir 0.000 0.000 0.500 1
Ir2 Ir 0.500 0.500 0.500 1
Pt1 Pt 0.136 0.636 0.500 1
Pt2 Pt 0.364 0.136 0.500 1
Pt3 Pt 0.636 0.864 0.500 1
Pt4 Pt 0.864 0.364 0.500 1
```


The energy of each structure relative to the most stable one, in meV per atom, is as follows: (a) 0; (b) 47.


(a)
The following is a DFT calculation (PBE-GGA) of an optimized crystal structure of CuIrPt4.

**Spin magnetization**: 0.00 μB per formula unit

```
data_CuIrPt4
_cell_length_a 6.874
_cell_length_b 6.874
_cell_length_c 6.478
_cell_angle_alpha 112.95
_cell_angle_beta 112.95
_cell_angle_gamma 46.18
_space_group_name_H-M_alt 'P 1'
_space_group_IT_number 1
_space_group_name_Hall 'P 1'
loop_
_atom_site_label
_atom_site_type_symbol
_atom_site_fract_x
_atom_site_fract_y
_atom_site_fract_z
_atom_site_occupancy
Cu1 Cu 0.214 0.214 0.165 1
Cu2 Cu 0.786 0.786 0.835 1
Ir1 Ir 0.065 0.065 0.722 1
Ir2 Ir 0.935 0.935 0.278 1
Pt1 Pt 0.117 0.612 0.546 1
Pt2 Pt 0.256 0.744 0.000 1
Pt3 Pt 0.291 0.291 0.850 1
Pt4 Pt 0.388 0.883 0.454 1
Pt5 Pt 0.612 0.117 0.546 1
Pt6 Pt 0.709 0.709 0.150 1
Pt7 Pt 0.744 0.256 0.000 1
Pt8 Pt 0.883 0.388 0.454 1
```


(b)
The following is a DFT calculation (PBE-GGA) of an optimized crystal structure of CuIrPt4.

**Spin magnetization**: 1.78 μB per formula unit

```
data_CuIrPt4
_cell_length_a 5.202
_cell_length_b 5.202
_cell_length_c 5.202
_cell_angle_alpha 60.00
_cell_angle_beta 60.00
_cell_angle_gamma 60.00
_space_group_name_H-M_alt 'P 1'
_space_group_IT_number 1
_space_group_name_Hall 'P 1'
loop_
_atom_site_label
_atom_site_type_symbol
_atom_site_fract_x
_atom_site_fract_y
_atom_site_fract_z
_atom_site_occupancy
Cu1 Cu 0.000 0.000 0.000 1
Ir1 Ir 0.750 0.750 0.750 1
Pt1 Pt 0.375 0.375 0.375 1
Pt2 Pt 0.375 0.375 0.875 1
Pt3 Pt 0.375 0.875 0.375 1
Pt4 Pt 0.875 0.375 0.375 1
```


The energy of each structure relative to the most stable one, in meV per atom, is as follows: (a) 0; (b) 263.